# 1
A geometry-optimized PmDyAlAu structure, computed with PBE.

Values from the calculation:
E_form, eV/atom: -0.58
Offset from the most stable computed form, meV/atom: 0
Total magnetic moment, μB per cell: 0.00
Density of states at the Fermi level, states/eV/atom: 0.98
Energy, eV for the cell shown: -37.4

Cell and atoms, written as CIF:
```
data_PmDyAlAu
_cell_length_a 4.586
_cell_length_b 3.812
_cell_length_c 11.517
_cell_angle_alpha 90.00
_cell_angle_beta 90.00
_cell_angle_gamma 90.00
_symmetry_space_group_name_H-M 'A m m 2'
_symmetry_Int_Tables_number 38
loop_
_symmetry_equiv_pos_as_xyz
'x,y,z'
'-x,-y,z'
'-x,y,z'
'x,-y,z'
'x,y+1/2,z+1/2'
'-x,-y+1/2,z+1/2'
'-x,y+1/2,z+1/2'
'x,-y+1/2,z+1/2'
loop_
_atom_site_label
_atom_site_fract_x
_atom_site_fract_y
_atom_site_fract_z
Pm1 0.000 0.000 0.000
Dy1 0.500 0.000 0.701
Al1 0.000 0.000 0.274
Au1 0.500 0.000 0.417
```


# 2
A geometry-optimized PmDyAlAu structure, computed with PBE.

Values from the calculation:
E_form, eV/atom: -0.53
Offset from the most stable computed form, meV/atom: 54
Total magnetic moment, μB per cell: 0.00
Density of states at the Fermi level, states/eV/atom: 1.04
Energy, eV for the cell shown: -73.9

Cell and atoms, written as CIF:
```
data_PmDyAlAu
_cell_length_a 7.358
_cell_length_b 7.358
_cell_length_c 7.358
_cell_angle_alpha 90.00
_cell_angle_beta 90.00
_cell_angle_gamma 90.00
_symmetry_space_group_name_H-M 'F -4 3 m'
_symmetry_Int_Tables_number 216
_symmetry_space_group_name_Hall 'F -4 2 3'
loop_
_atom_site_label
_atom_site_fract_x
_atom_site_fract_y
_atom_site_fract_z
Pm1 0.000 0.000 0.000
Dy1 0.000 0.000 0.500
Al1 0.250 0.250 0.750
Au1 0.250 0.250 0.250
```


# 3
A geometry-optimized PrDy2AlAu4 structure, computed with PBE.

Values from the calculation:
E_form, eV/atom: -0.73
Total magnetic moment, μB per cell: 0.00
Density of states at the Fermi level, states/eV/atom: 0.50
Energy, eV for the cell shown: -110.1

Cell and atoms, written as CIF:
```
data_PrDy2AlAu4
_cell_length_a 4.9612
_cell_length_b 4.9612
_cell_length_c 25.6752
_cell_angle_alpha 90.00
_cell_angle_beta 90.00
_cell_angle_gamma 120.00
_symmetry_space_group_name_H-M 'R -3 m'
_symmetry_Int_Tables_number 166
_symmetry_space_group_name_Hall '-R 3 2"'
loop_
_atom_site_label
_atom_site_fract_x
_atom_site_fract_y
_atom_site_fract_z
Pr1 0.0000 0.0000 0.0000
Dy1 0.0000 0.0000 0.2385
Al1 0.0000 0.0000 0.5000
Au1 0.0000 0.0000 0.1222
Au2 0.0000 0.0000 0.3933
```


# 4
A geometry-optimized PrDyAl2Au4 structure, computed with PBE.

Values from the calculation:
E_form, eV/atom: -0.69
Total magnetic moment, μB per cell: 0.00
Density of states at the Fermi level, states/eV/atom: 0.60
Energy, eV for the cell shown: -106.6

Cell and atoms, written as CIF:
```
data_PrDyAl2Au4
_cell_length_a 4.5914
_cell_length_b 4.5914
_cell_length_c 27.9206
_cell_angle_alpha 90.00
_cell_angle_beta 90.00
_cell_angle_gamma 120.00
_symmetry_space_group_name_H-M 'R -3 m'
_symmetry_Int_Tables_number 166
_symmetry_space_group_name_Hall '-R 3 2"'
loop_
_atom_site_label
_atom_site_fract_x
_atom_site_fract_y
_atom_site_fract_z
Pr1 0.0000 0.0000 0.0000
Dy1 0.0000 0.0000 0.5000
Al1 0.0000 0.0000 0.2442
Au1 0.0000 0.0000 0.1151
Au2 0.0000 0.0000 0.3932
```


Look up the density of states at the Fermi level of the third one. 0.50 states/eV/atom